1.
Density functional theory data (PBE) for a relaxed Sn3GeRu crystal.

```
Sn3GeRu
1.0
5.155 0.000 0.000
0.000 5.155 0.000
0.000 0.000 5.155
Ru Ge Sn
1 1 3
Direct
0.000 0.000 0.000 Ru
0.500 0.500 0.500 Ge
0.000 0.500 0.000 Sn
0.000 0.000 0.500 Sn
0.500 0.000 0.000 Sn
```

## Properties
space-group type	Pm-3m (221)
energy above the lowest structure with this stoichiometry	0.000	eV per atom
size of the total moment	0.5	μB per formula unit

***

2.
Density functional theory data (PBE) for a relaxed SnGeRu3 crystal.

```
SnGeRu3
1.0
4.547 0.000 0.000
0.000 4.547 0.000
0.000 0.000 4.547
Ru Ge Sn
3 1 1
Direct
0.000 0.500 0.000 Ru
0.000 0.000 0.500 Ru
0.500 0.000 0.000 Ru
0.000 0.000 0.000 Ge
0.500 0.500 0.500 Sn
```

## Properties
space-group type	Pm-3m (221)
energy above the lowest structure with this stoichiometry	0.000	eV per atom
size of the total moment	0.0	μB per formula unit

***

3.
Density functional theory data (PBE) for a relaxed TaSnGe2Ru crystal.

```
TaSnGe2Ru
1.0
-0.868 3.104 4.040
1.366 -3.543 3.016
4.882 1.679 -0.240
Ru Ge Sn Ta
1 2 1 1
Direct
0.000 0.500 0.000 Ru
0.000 0.000 0.500 Ge
0.500 0.000 0.000 Ge
0.500 0.500 0.500 Sn
0.000 0.000 0.000 Ta
```

## Properties
space-group type	P4/mmm (123)
size of the total moment	0.0	μB per formula unit

***

4.
Density functional theory data (PBE) for a relaxed TcSn2GeRu crystal.

```
TcSn2GeRu
1.0
-1.572 4.985 -0.108
-3.607 -1.080 2.647
2.841 0.989 4.275
Ru Ge Sn Tc
1 1 2 1
Direct
0.000 0.500 0.000 Ru
0.000 0.000 0.000 Ge
0.000 0.000 0.500 Sn
0.500 0.000 0.000 Sn
0.500 0.500 0.500 Tc
```

## Properties
space-group type	P4/mmm (123)
size of the total moment	3.3	μB per formula unit

***

5.
Density functional theory data (PBE) for a relaxed TcSnGeRu crystal.

```
TcSnGeRu
1.0
4.465 0.000 0.000
2.232 3.867 0.000
2.232 1.289 3.646
Ru Ge Sn Tc
1 1 1 1
Direct
0.500 0.500 0.500 Ru
0.250 0.250 0.250 Ge
0.750 0.750 0.750 Sn
0.000 0.000 0.000 Tc
```

## Properties
space-group type	F-43m (216)
size of the total moment	0.0	μB per formula unit

***

6.
Density functional theory data (PBE) for a relaxed Tm2SnGe2Ru5 crystal.

```
Tm2SnGe2Ru5
1.0
3.356 0.000 0.000
0.000 10.089 0.000
0.000 0.000 10.089
Tm Sn Ge Ru
4 2 4 10
Direct
0.000 0.673 0.173 Tm
0.000 0.327 0.827 Tm
0.000 0.173 0.327 Tm
0.000 0.827 0.673 Tm
0.000 0.000 0.000 Sn
0.000 0.500 0.500 Sn
0.000 0.127 0.627 Ge
0.000 0.873 0.373 Ge
0.000 0.627 0.873 Ge
0.000 0.373 0.127 Ge
0.500 0.208 0.067 Ru
0.500 0.792 0.933 Ru
0.500 0.067 0.792 Ru
0.500 0.708 0.433 Ru
0.500 0.933 0.208 Ru
0.500 0.292 0.567 Ru
0.500 0.567 0.708 Ru
0.500 0.433 0.292 Ru
0.500 0.500 0.000 Ru
0.500 0.000 0.500 Ru
```

## Properties
space-group type	P4/mbm (127)
size of the total moment	0.0	μB per formula unit

***

The calculation returns the following formation energy from the elements values, one per record and in order: 30.5 73.8 79.9 128.0 0.7 -45.7 kJ per mole of atoms.